--- 1 ---
The following is a DFT calculation (PBE) of Cu7Ag3 after structural relaxation.

a = 21.386 Å, b = 21.386 Å, c = 21.386 Å
α = 7.33°, β = 7.33°, γ = 7.33°
Element x y z (fractional)
Ag (0.302, 0.302, 0.302)
Ag (0.799, 0.799, 0.799)
Ag (0.899, 0.899, 0.899)
Cu (0.004, 0.004, 0.004)
Cu (0.097, 0.097, 0.097)
Cu (0.198, 0.198, 0.198)
Cu (0.399, 0.399, 0.399)
Cu (0.501, 0.501, 0.501)
Cu (0.601, 0.601, 0.601)
Cu (0.701, 0.701, 0.701)

As for the symmetry: R3m, No. 160.

--- 2 ---
The following is a DFT calculation (PBE) of Cu7Ag3 after structural relaxation.

a = 9.533 Å, b = 9.533 Å, c = 5.405 Å
α = 98.98°, β = 98.98°, γ = 16.51°
Element x y z (fractional)
Ag (0.000, 0.000, 0.000)
Ag (0.801, 0.801, 0.385)
Ag (0.199, 0.199, 0.615)
Cu (0.192, 0.192, 0.096)
Cu (0.403, 0.403, 0.204)
Cu (0.599, 0.599, 0.306)
Cu (0.000, 0.000, 0.500)
Cu (0.401, 0.401, 0.694)
Cu (0.597, 0.597, 0.796)
Cu (0.808, 0.808, 0.904)

As for the symmetry: C2/m, No. 12.

--- 3 ---
The following is a DFT calculation (PBE) of Cu7Ag3 after structural relaxation.

a = 3.800 Å, b = 9.691 Å, c = 9.691 Å
α = 22.62°, β = 90.00°, γ = 90.00°
Element x y z (fractional)
Ag (0.500, 0.100, 0.100)
Ag (0.000, 0.208, 0.208)
Ag (0.500, 0.492, 0.492)
Cu (0.500, 0.306, 0.306)
Cu (0.000, 0.394, 0.394)
Cu (0.000, 0.600, 0.600)
Cu (0.500, 0.708, 0.708)
Cu (0.000, 0.806, 0.806)
Cu (0.500, 0.894, 0.894)
Cu (0.000, 0.992, 0.992)

As for the symmetry: Amm2, No. 38.

--- 4 ---
The following is a DFT calculation (PBE) of Cu7Ag3 after structural relaxation.

a = 7.108 Å, b = 7.108 Å, c = 4.664 Å
α = 96.32°, β = 96.32°, γ = 141.75°
Element x y z (fractional)
Ag (0.405, 0.595, 0.000)
Ag (0.201, 0.799, 0.000)
Ag (0.093, 0.907, 0.500)
Cu (0.996, 0.004, 0.000)
Cu (0.800, 0.200, 0.000)
Cu (0.602, 0.398, 0.000)
Cu (0.894, 0.106, 0.500)
Cu (0.705, 0.295, 0.500)
Cu (0.500, 0.500, 0.500)
Cu (0.304, 0.696, 0.500)

As for the symmetry: C2, No. 5.

What should be chosen as the most stable of them? Choose 3.

--- 1 ---
The following is a DFT calculation (PBE) of Cu7Ag3 after structural relaxation.

a = 5.876 Å, b = 5.876 Å, c = 8.957 Å
α = 101.68°, β = 101.68°, γ = 27.01°
Element x y z (fractional)
Ag (0.500, 0.500, 0.000)
Ag (0.300, 0.300, 0.391)
Ag (0.700, 0.700, 0.609)
Cu (0.206, 0.206, 0.096)
Cu (0.900, 0.900, 0.197)
Cu (0.591, 0.591, 0.299)
Cu (0.000, 0.000, 0.500)
Cu (0.409, 0.409, 0.701)
Cu (0.100, 0.100, 0.803)
Cu (0.794, 0.794, 0.904)

As for the symmetry: C2/m, No. 12.

--- 2 ---
The following is a DFT calculation (PBE) of Cu7Ag3 after structural relaxation.

a = 3.852 Å, b = 9.422 Å, c = 9.422 Å
α = 23.59°, β = 90.00°, γ = 90.00°
Element x y z (fractional)
Ag (0.500, 0.402, 0.402)
Ag (0.000, 0.696, 0.696)
Ag (0.000, 0.902, 0.902)
Cu (0.500, 0.009, 0.009)
Cu (0.000, 0.097, 0.097)
Cu (0.500, 0.197, 0.197)
Cu (0.000, 0.295, 0.295)
Cu (0.000, 0.509, 0.509)
Cu (0.500, 0.597, 0.597)
Cu (0.500, 0.795, 0.795)

As for the symmetry: Amm2, No. 38.

What should be chosen as the most stable of them? Choose 2.

--- 1 ---
The following is a DFT calculation (PBE) of SrLiPrS3 after structural relaxation.

a = 6.845 Å, b = 6.845 Å, c = 10.770 Å
α = 90.00°, β = 90.00°, γ = 145.21°
Element x y z (fractional)
Li (0.522, 0.478, 0.250)
Li (0.478, 0.522, 0.750)
Pr (0.000, 0.000, 0.000)
Pr (0.000, 0.000, 0.500)
S (0.637, 0.363, 0.078)
S (0.919, 0.081, 0.250)
S (0.637, 0.363, 0.422)
S (0.363, 0.637, 0.578)
S (0.081, 0.919, 0.750)
S (0.363, 0.637, 0.922)
Sr (0.248, 0.752, 0.250)
Sr (0.752, 0.248, 0.750)

The magnetization is 0.00 μB/f.u. As for the symmetry: Cmcm, No. 63.

--- 2 ---
The following is a DFT calculation (PBE) of SrLiPrS3 after structural relaxation.

a = 10.858 Å, b = 4.102 Å, c = 12.836 Å
α = 90.00°, β = 90.00°, γ = 90.00°
Element x y z (fractional)
Li (0.229, 0.750, 0.227)
Li (0.729, 0.750, 0.273)
Li (0.271, 0.250, 0.727)
Li (0.771, 0.250, 0.773)
Pr (0.481, 0.250, 0.222)
Pr (0.981, 0.250, 0.278)
Pr (0.019, 0.750, 0.722)
Pr (0.519, 0.750, 0.778)
S (0.385, 0.750, 0.098)
S (0.044, 0.750, 0.127)
S (0.742, 0.250, 0.173)
S (0.242, 0.250, 0.327)
S (0.544, 0.750, 0.373)
S (0.885, 0.750, 0.402)
S (0.115, 0.250, 0.598)
S (0.456, 0.250, 0.627)
S (0.758, 0.750, 0.673)
S (0.258, 0.750, 0.827)
S (0.956, 0.250, 0.873)
S (0.615, 0.250, 0.902)
Sr (0.801, 0.750, 0.002)
Sr (0.301, 0.750, 0.498)
Sr (0.699, 0.250, 0.502)
Sr (0.199, 0.250, 0.998)

The magnetization is 0.00 μB/f.u. As for the symmetry: Pnma, No. 62.

What should be chosen as the most stable of them? Choose 2.

--- 1 ---
The following is a DFT calculation (PBE) of HfMgScCo after structural relaxation.

a = 4.624 Å, b = 4.624 Å, c = 4.624 Å
α = 60.00°, β = 60.00°, γ = 60.00°
Element x y z (fractional)
Co (0.500, 0.500, 0.500)
Hf (0.250, 0.250, 0.250)
Mg (0.750, 0.750, 0.750)
Sc (0.000, 0.000, 0.000)

The magnetization is 0.00 μB/f.u. As for the symmetry: F-43m, No. 216.

--- 2 ---
The following is a DFT calculation (PBE) of HfMgScCo after structural relaxation.

a = 4.670 Å, b = 4.670 Å, c = 4.670 Å
α = 60.00°, β = 60.00°, γ = 60.00°
Element x y z (fractional)
Co (0.250, 0.250, 0.250)
Hf (0.500, 0.500, 0.500)
Mg (0.750, 0.750, 0.750)
Sc (0.000, 0.000, 0.000)

The magnetization is 0.00 μB/f.u. As for the symmetry: F-43m, No. 216.

What should be chosen as the most stable of them? Choose 2.

--- 1 ---
The following is a DFT calculation (PBE) of MgAgTeO after structural relaxation.

a = 5.837 Å, b = 8.560 Å, c = 13.592 Å
α = 90.00°, β = 90.00°, γ = 90.00°
Element x y z (fractional)
Ag (0.252, 0.008, 0.173)
Ag (0.248, 0.508, 0.173)
Ag (0.752, 0.008, 0.327)
Ag (0.748, 0.508, 0.327)
Ag (0.252, 0.492, 0.673)
Ag (0.248, 0.992, 0.673)
Ag (0.752, 0.492, 0.827)
Ag (0.748, 0.992, 0.827)
Mg (0.835, 0.258, 0.173)
Mg (0.665, 0.758, 0.173)
Mg (0.335, 0.258, 0.327)
Mg (0.165, 0.758, 0.327)
Mg (0.835, 0.242, 0.673)
Mg (0.665, 0.742, 0.673)
Mg (0.335, 0.242, 0.827)
Mg (0.165, 0.742, 0.827)
O (0.152, 0.257, 0.210)
O (0.348, 0.757, 0.210)
O (0.652, 0.257, 0.290)
O (0.848, 0.757, 0.290)
O (0.152, 0.243, 0.710)
O (0.348, 0.743, 0.710)
O (0.652, 0.243, 0.790)
O (0.848, 0.743, 0.790)
Te (0.756, 0.006, 0.037)
Te (0.744, 0.506, 0.037)
Te (0.256, 0.006, 0.463)
Te (0.244, 0.506, 0.463)
Te (0.756, 0.494, 0.537)
Te (0.744, 0.994, 0.537)
Te (0.256, 0.494, 0.963)
Te (0.244, 0.994, 0.963)

As for the symmetry: Pbca, No. 61.

--- 2 ---
The following is a DFT calculation (PBE) of MgAgTeO after structural relaxation.

a = 3.965 Å, b = 3.965 Å, c = 10.012 Å
α = 90.00°, β = 90.00°, γ = 90.00°
Element x y z (fractional)
Ag (0.750, 0.750, 0.110)
Ag (0.250, 0.250, 0.890)
Mg (0.750, 0.750, 0.499)
Mg (0.250, 0.250, 0.501)
O (0.750, 0.250, 0.500)
O (0.250, 0.750, 0.500)
Te (0.250, 0.250, 0.178)
Te (0.750, 0.750, 0.822)

As for the symmetry: P4/nmm, No. 129.

What should be chosen as the most stable of them? Choose 2.

--- 1 ---
The following is a DFT calculation (PBE) of Cu2Ag after structural relaxation.

a = 4.670 Å, b = 4.670 Å, c = 11.141 Å
α = 111.86°, β = 111.86°, γ = 34.16°
Element x y z (fractional)
Ag (0.874, 0.874, 0.538)
Ag (0.443, 0.443, 0.778)
Ag (0.238, 0.238, 0.906)
Cu (0.024, 0.024, 0.026)
Cu (0.791, 0.791, 0.126)
Cu (0.558, 0.558, 0.227)
Cu (0.323, 0.323, 0.319)
Cu (0.091, 0.091, 0.427)
Cu (0.657, 0.657, 0.652)

As for the symmetry: Cm, No. 8.

--- 2 ---
The following is a DFT calculation (PBE) of Cu2Ag after structural relaxation.

a = 7.115 Å, b = 7.115 Å, c = 6.516 Å
α = 91.30°, β = 91.30°, γ = 22.34°
Element x y z (fractional)
Ag (0.890, 0.890, 0.319)
Ag (0.771, 0.771, 0.660)
Ag (0.450, 0.450, 0.687)
Cu (0.011, 0.011, 0.018)
Cu (0.214, 0.214, 0.313)
Cu (0.563, 0.563, 0.337)
Cu (0.111, 0.111, 0.667)
Cu (0.325, 0.325, 0.999)
Cu (0.664, 0.664, 0.000)

As for the symmetry: Cm, No. 8.

--- 3 ---
The following is a DFT calculation (PBE) of Cu2Ag after structural relaxation.

a = 4.675 Å, b = 2.737 Å, c = 6.538 Å
α = 90.00°, β = 90.47°, γ = 90.00°
Element x y z (fractional)
Ag (0.908, 0.250, 0.319)
Ag (0.092, 0.750, 0.681)
Cu (0.270, 0.250, 0.012)
Cu (0.417, 0.750, 0.331)
Cu (0.583, 0.250, 0.669)
Cu (0.730, 0.750, 0.988)

As for the symmetry: P2_1/m, No. 11.

What should be chosen as the most stable of them? Choose 1.